(1)
# Cs3PmSc2S6 (PBE, relaxed)
# Space group: No. 12
# Raw formation energy in eV per atom: -1.71
# Crystal system: monoclinic
data_Cs3PmSc2S6
_chemical_formula_sum 'Cs3 Pm1 Sc2 S6'
_cell_length_a 6.9440
_cell_length_b 6.9440
_cell_length_c 8.3419
_cell_angle_alpha 97.99
_cell_angle_beta 97.99
_cell_angle_gamma 119.99
_symmetry_space_group_name_H-M 'P 1'
_symmetry_Int_Tables_number 1
_symmetry_space_group_name_Hall 'P 1'
loop_
_atom_site_label
_atom_site_type_symbol
_atom_site_fract_x
_atom_site_fract_y
_atom_site_fract_z
_atom_site_occupancy
Sc1 Sc 0.3332 0.6668 0.0000 1
Cs1 Cs 0.5000 0.5000 0.5000 1
Cs2 Cs 0.1640 0.8360 0.5000 1
S1 S 0.9408 0.5885 0.8225 1
S2 S 0.7066 0.7066 0.1762 1
S3 S 0.2934 0.2934 0.8238 1
S4 S 0.5885 0.9408 0.8225 1
S5 S 0.4115 0.0592 0.1775 1
S6 S 0.0592 0.4115 0.1775 1
Pm1 Pm 0.0000 0.0000 0.0000 1
Sc2 Sc 0.6668 0.3332 0.0000 1
Cs3 Cs 0.8360 0.1640 0.5000 1


(2)
# SrLi6Ag (PBE, relaxed)
# Space group: No. 123
# Crystal system: tetragonal
# Final energy in eV/atom: -1.966
data_SrLi6Ag
_chemical_formula_sum 'Sr1 Li6 Ag1'
_cell_length_a 4.5342
_cell_length_b 4.5342
_cell_length_c 9.8563
_cell_angle_alpha 90.00
_cell_angle_beta 90.00
_cell_angle_gamma 90.00
_symmetry_space_group_name_H-M 'P 1'
_symmetry_Int_Tables_number 1
_symmetry_space_group_name_Hall 'P 1'
loop_
_atom_site_label
_atom_site_type_symbol
_atom_site_fract_x
_atom_site_fract_y
_atom_site_fract_z
_atom_site_occupancy
Li1 Li 0.5000 0.5000 0.1501 1
Li2 Li 0.0000 0.5000 0.3460 1
Ag1 Ag 0.0000 0.0000 0.5000 1
Li3 Li 0.5000 0.5000 0.8499 1
Li4 Li 0.0000 0.5000 0.6540 1
Li5 Li 0.5000 0.0000 0.6540 1
Li6 Li 0.5000 0.0000 0.3460 1
Sr1 Sr 0.0000 0.0000 0.0000 1


Q: Number 1 is which compound?
A: Cs3PmSc2S6